--- 1 ---
Computed, not measured: a relaxed structure of CoAsOsO at the PBE with a Hubbard U level of DFT.

Summary:
Its symmetry is No. 129.

Structure (extended XYZ):
```
8
Lattice="3.677 0.000 0.000 0.000 3.677 0.000 0.000 0.000 6.827" Properties=species:S:1:pos:R:3 pbc="T T T"
Co 0.919 2.758 0.000
Co 2.758 0.919 0.000
As 0.919 0.919 1.388
As 2.758 2.758 5.440
Os 0.919 0.919 4.717
Os 2.758 2.758 2.110
O 0.919 2.758 3.414
O 2.758 0.919 3.414
```

=====

--- 2 ---
Computed, not measured: a relaxed structure of CoAsOsO at the PBE with a Hubbard U level of DFT.

Summary:
Its symmetry is No. 129.

Structure (extended XYZ):
```
8
Lattice="3.883 0.000 0.000 0.000 3.883 0.000 0.000 0.000 8.939" Properties=species:S:1:pos:R:3 pbc="T T T"
Co 0.971 0.971 0.412
Co 2.912 2.912 8.526
As 0.971 0.971 6.052
As 2.912 2.912 2.887
Os 0.971 2.912 4.469
Os 2.912 0.971 4.469
O 0.971 2.912 0.000
O 2.912 0.971 0.000
```

=====

Short version: 2 is the least stable of them.

=====

--- 1 ---
Computed, not measured: a relaxed structure of PaCoAsO at the PBE with a Hubbard U level of DFT.

Summary:
Its symmetry is No. 129.

Structure (extended XYZ):
```
8
Lattice="6.073 0.000 0.000 0.000 6.073 0.000 0.000 0.000 4.460" Properties=species:S:1:pos:R:3 pbc="T T T"
Pa 1.518 4.555 0.000
Pa 4.555 1.518 0.000
Co 1.518 1.518 2.217
Co 4.555 4.555 2.243
As 1.518 1.518 4.447
As 4.555 4.555 0.013
O 1.518 4.555 2.230
O 4.555 1.518 2.230
```

=====

--- 2 ---
Computed, not measured: a relaxed structure of PaCoAsO at the PBE with a Hubbard U level of DFT.

Summary:
Its symmetry is No. 129.

Structure (extended XYZ):
```
8
Lattice="4.070 0.000 0.000 0.000 4.070 0.000 0.000 0.000 9.795" Properties=species:S:1:pos:R:3 pbc="T T T"
Pa 1.018 3.053 0.000
Pa 3.053 1.018 0.000
Co 1.018 1.018 4.568
Co 3.053 3.053 5.227
As 1.018 1.018 2.051
As 3.053 3.053 7.744
O 1.018 3.053 4.898
O 3.053 1.018 4.898
```

=====

Short version: 2 is the least stable of them.

=====

--- 1 ---
Computed, not measured: a relaxed structure of CoAsPtO at the PBE with a Hubbard U level of DFT.

Summary:
Its symmetry is No. 129.

Structure (extended XYZ):
```
8
Lattice="3.915 0.000 0.000 0.000 3.915 0.000 0.000 0.000 8.830" Properties=species:S:1:pos:R:3 pbc="T T T"
Co 0.979 0.979 0.427
Co 2.936 2.936 8.403
As 0.979 0.979 2.817
As 2.936 2.936 6.012
Pt 0.979 2.936 4.415
Pt 2.936 0.979 4.415
O 0.979 2.936 0.000
O 2.936 0.979 0.000
```

=====

--- 2 ---
Computed, not measured: a relaxed structure of CoAsPtO at the PBE with a Hubbard U level of DFT.

Summary:
Its symmetry is No. 129.

Structure (extended XYZ):
```
8
Lattice="3.852 0.000 0.000 0.000 3.852 0.000 0.000 0.000 6.622" Properties=species:S:1:pos:R:3 pbc="T T T"
Co 0.963 2.889 0.000
Co 2.889 0.963 0.000
As 0.963 0.963 1.368
As 2.889 2.889 5.253
Pt 0.963 0.963 4.660
Pt 2.889 2.889 1.962
O 0.963 2.889 3.311
O 2.889 0.963 3.311
```

=====

Short version: 2 is the least stable of them.

=====

--- 1 ---
Computed, not measured: a relaxed structure of CoAsPtO at the PBE with a Hubbard U level of DFT.

Summary:
Its symmetry is No. 26.

Structure (extended XYZ):
```
8
Lattice="4.090 0.000 0.000 0.000 5.560 0.000 0.000 0.000 5.530" Properties=species:S:1:pos:R:3 pbc="T T T"
Co 0.000 0.802 0.000
Co 0.000 4.758 2.765
As 2.045 1.787 4.681
As 2.045 3.773 1.916
Pt 2.045 1.299 2.244
Pt 2.045 4.261 5.009
O 0.000 0.984 1.955
O 0.000 4.576 4.720
```

=====

--- 2 ---
Computed, not measured: a relaxed structure of CoAsPtO at the PBE with a Hubbard U level of DFT.

Summary:
Its symmetry is No. 26.

Structure (extended XYZ):
```
8
Lattice="3.558 0.000 0.000 0.000 6.279 0.000 0.000 0.000 5.489" Properties=species:S:1:pos:R:3 pbc="T T T"
Co 0.000 0.829 0.000
Co 0.000 5.451 2.744
As 0.000 1.563 3.081
As 0.000 4.717 0.336
Pt 1.779 3.129 0.169
Pt 1.779 3.150 2.913
O 1.779 0.963 0.162
O 1.779 5.317 2.906
```

=====

Short version: 1 is the least stable of them.

=====

--- 1 ---
Computed, not measured: a relaxed structure of RbCoAsO at the PBE with a Hubbard U level of DFT.

Summary:
Its symmetry is No. 26.

Structure (extended XYZ):
```
8
Lattice="3.226 0.000 0.000 0.000 6.943 0.000 0.000 0.000 7.790" Properties=species:S:1:pos:R:3 pbc="T T T"
Rb 0.000 1.006 0.000
Rb 0.000 5.937 3.895
Co 1.613 2.308 2.952
Co 1.613 4.636 6.847
As 1.613 2.843 5.255
As 1.613 4.101 1.360
O 0.000 1.432 2.714
O 0.000 5.512 6.609
```

=====

--- 2 ---
Computed, not measured: a relaxed structure of RbCoAsO at the PBE with a Hubbard U level of DFT.

Summary:
Its symmetry is No. 129.

Structure (extended XYZ):
```
8
Lattice="3.754 0.000 0.000 0.000 3.754 0.000 0.000 0.000 11.625" Properties=species:S:1:pos:R:3 pbc="T T T"
Rb 0.938 0.938 1.911
Rb 2.815 2.815 9.714
Co 0.938 2.815 5.813
Co 2.815 0.938 5.813
As 0.938 0.938 7.104
As 2.815 2.815 4.522
O 0.938 2.815 0.000
O 2.815 0.938 0.000
```

=====

Short version: 2 is the least stable of them.

=====

--- 1 ---
Computed, not measured: a relaxed structure of CoSiAsO at the PBE with a Hubbard U level of DFT.

Summary:
Its symmetry is No. 129.

Structure (extended XYZ):
```
8
Lattice="4.088 0.000 0.000 0.000 4.088 0.000 0.000 0.000 8.781" Properties=species:S:1:pos:R:3 pbc="T T T"
Co 1.022 1.022 0.015
Co 3.066 3.066 8.766
Si 1.022 3.066 4.391
Si 3.066 1.022 4.391
As 1.022 1.022 5.781
As 3.066 3.066 3.000
O 1.022 3.066 0.000
O 3.066 1.022 0.000
```

=====

--- 2 ---
Computed, not measured: a relaxed structure of CoSiAsO at the PBE with a Hubbard U level of DFT.

Summary:
Its symmetry is No. 129.

Structure (extended XYZ):
```
8
Lattice="3.451 0.000 0.000 0.000 3.451 0.000 0.000 0.000 9.470" Properties=species:S:1:pos:R:3 pbc="T T T"
Co 0.863 2.588 0.000
Co 2.588 0.863 0.000
Si 0.863 0.863 3.750
Si 2.588 2.588 5.720
As 0.863 0.863 7.979
As 2.588 2.588 1.491
O 0.863 2.588 4.735
O 2.588 0.863 4.735
```

=====

--- 3 ---
Computed, not measured: a relaxed structure of CoSiAsO at the PBE with a Hubbard U level of DFT.

Summary:
Its symmetry is No. 26.

Structure (extended XYZ):
```
8
Lattice="2.912 0.000 0.000 0.000 6.074 0.000 0.000 0.000 6.439" Properties=species:S:1:pos:R:3 pbc="T T T"
Co 0.000 0.570 0.000
Co 0.000 5.503 3.219
Si 1.456 1.523 2.909
Si 1.456 4.550 6.128
As 1.456 2.118 5.306
As 1.456 3.956 2.087
O 0.000 1.282 1.964
O 0.000 4.792 5.184
```

=====

Short version: 1 is the least stable of them.

=====

--- 1 ---
Computed, not measured: a relaxed structure of SrCoAsO at the PBE with a Hubbard U level of DFT.

Summary:
Its symmetry is No. 129.

Structure (extended XYZ):
```
8
Lattice="4.290 0.000 0.000 0.000 4.290 0.000 0.000 0.000 8.444" Properties=species:S:1:pos:R:3 pbc="T T T"
Sr 1.072 1.072 1.055
Sr 3.217 3.217 7.389
Co 1.072 3.217 4.222
Co 3.217 1.072 4.222
As 1.072 1.072 5.294
As 3.217 3.217 3.149
O 1.072 3.217 0.000
O 3.217 1.072 0.000
```

=====

--- 2 ---
Computed, not measured: a relaxed structure of SrCoAsO at the PBE with a Hubbard U level of DFT.

Summary:
Its symmetry is No. 26.

Structure (extended XYZ):
```
8
Lattice="3.435 0.000 0.000 0.000 6.751 0.000 0.000 0.000 6.883" Properties=species:S:1:pos:R:3 pbc="T T T"
Sr 0.000 1.360 0.000
Sr 0.000 5.390 3.441
Co 1.718 1.750 2.712
Co 1.718 5.001 6.154
As 1.718 2.975 4.794
As 1.718 3.776 1.353
O 0.000 0.776 2.406
O 0.000 5.975 5.848
```

=====

Short version: 2 is the least stable of them.

=====

--- 1 ---
Computed, not measured: a relaxed structure of TaCoAsO at the PBE with a Hubbard U level of DFT.

Summary:
Its symmetry is No. 129.

Structure (extended XYZ):
```
8
Lattice="4.038 0.000 0.000 0.000 4.038 0.000 0.000 0.000 9.278" Properties=species:S:1:pos:R:3 pbc="T T T"
Ta 1.010 3.029 0.000
Ta 3.029 1.010 0.000
Co 1.010 1.010 4.437
Co 3.029 3.029 4.841
As 1.010 1.010 1.634
As 3.029 3.029 7.644
O 1.010 3.029 4.639
O 3.029 1.010 4.639
```

=====

--- 2 ---
Computed, not measured: a relaxed structure of TaCoAsO at the PBE with a Hubbard U level of DFT.

Summary:
Its symmetry is No. 129.

Structure (extended XYZ):
```
8
Lattice="3.492 0.000 0.000 0.000 3.492 0.000 0.000 0.000 8.467" Properties=species:S:1:pos:R:3 pbc="T T T"
Ta 0.873 0.873 1.320
Ta 2.619 2.619 7.147
Co 0.873 2.619 4.234
Co 2.619 0.873 4.234
As 0.873 0.873 5.986
As 2.619 2.619 2.481
O 0.873 2.619 0.000
O 2.619 0.873 0.000
```

=====

Short version: 1 is the least stable of them.